1.
! AcPm6Tm12, relaxed, DFT PBE-GGA; values from VASP
&SYSTEM
  ibrav = 0, nat = 19, ntyp = 3
/
ATOMIC_SPECIES
Tm 168.93 Tm.upf
Pm 145.00 Pm.upf
Ac 227.00 Ac.upf
CELL_PARAMETERS angstrom
8.8765 -0.1443 -2.3371
-2.9971 8.3565 -2.3371
-0.1033 -0.1443 9.1784
ATOMIC_POSITIONS angstrom
Tm 2.0722 2.8944 -0.6292
Tm -0.5940 4.0340 6.7175
Tm 3.7039 5.1735 5.1334
Tm 5.8813 5.1735 2.3411
Tm 1.7659 7.3303 -2.2133
Tm 4.0102 0.7377 6.7175
Tm -0.1052 2.8944 2.1630
Tm 2.7739 0.8332 2.1630
Tm 3.0023 7.2347 2.3411
Tm 6.3701 4.0340 -2.2133
Tm -1.7161 7.3303 2.2521
Tm 7.4922 0.7377 2.2521
Pm 5.2285 2.2497 4.0771
Pm 1.7135 2.3934 5.0665
Pm 0.5476 5.8183 0.4271
Pm 4.0626 5.6745 -0.5624
Pm 5.3314 2.3934 0.4271
Pm 0.4447 5.6745 4.0771
Ac 0.0000 0.0000 0.0000
! E   -4.1012 eV per atom
! E_form   8.35 eV per formula unit
! Density of states at the Fermi level   1.5317 states/eV per atom

=====

2.
! AcPm2Tm3, relaxed, DFT PBE-GGA; values from VASP
&SYSTEM
  ibrav = 0, nat = 12, ntyp = 3
/
ATOMIC_SPECIES
Ac 227.00 Ac.upf
Tm 168.93 Tm.upf
Pm 145.00 Pm.upf
CELL_PARAMETERS angstrom
6.7318 0.5066 -0.5028
-1.1331 6.6550 -0.5028
-0.5238 -0.6701 9.0503
ATOMIC_POSITIONS angstrom
Ac 5.6666 0.5296 6.2849
Ac -0.5917 5.9619 1.7598
Tm 2.1463 1.3254 -0.2584
Tm 2.0883 3.8667 1.7598
Tm 2.9285 5.1662 8.3031
Tm 2.9865 2.6248 6.2849
Tm 0.5063 2.0677 4.2667
Tm 4.5686 4.4238 3.7780
Pm -0.2799 3.6287 7.5261
Pm 5.3548 2.8629 0.5186
Pm 1.2240 5.5524 5.0437
Pm 3.8509 0.9392 3.0010
! E   -4.3966 eV per atom
! E_form   0.64 eV per formula unit
! Density of states at the Fermi level   1.5115 states/eV per atom

=====

3.
! Ac6Pm3Tm, relaxed, DFT PBE-GGA; values from VASP
&SYSTEM
  ibrav = 0, nat = 20, ntyp = 3
/
ATOMIC_SPECIES
Ac 227.00 Ac.upf
Pm 145.00 Pm.upf
Tm 168.93 Tm.upf
CELL_PARAMETERS angstrom
-1.6964 3.4015 -0.7441
-4.6068 -1.2807 4.6382
20.9205 10.5814 20.7515
ATOMIC_POSITIONS angstrom
Ac 15.9392 12.2256 19.4446
Ac 10.6390 6.1706 14.0010
Ac 7.5249 7.2542 15.9751
Ac 7.0924 5.4480 8.6704
Ac 2.1792 3.1684 9.5400
Ac 12.5852 10.4134 18.8329
Ac 14.5169 9.9201 22.2256
Ac 3.9783 6.5315 10.6445
Ac 0.1004 2.7821 2.4199
Ac 12.4381 9.5337 15.1055
Ac -1.3219 0.4766 5.2009
Ac 2.0321 2.2888 5.8126
Pm -1.1825 3.3188 7.7544
Pm 3.7055 5.5525 6.8714
Pm 15.7998 9.3834 16.8911
Pm 10.4602 5.2907 10.3757
Pm 10.9118 7.1497 17.7741
Pm -3.1516 1.0604 1.9470
Tm 0.0000 0.0000 0.0000
Tm 7.3087 6.3511 12.3227
! E   -4.2983 eV per atom
! E_form   0.39 eV per formula unit
! Density of states at the Fermi level   1.5189 states/eV per atom

=====

4.
! Ac4Pm3Tm2, relaxed, DFT PBE-GGA; values from VASP
&SYSTEM
  ibrav = 0, nat = 9, ntyp = 3
/
ATOMIC_SPECIES
Ac 227.00 Ac.upf
Pm 145.00 Pm.upf
Tm 168.93 Tm.upf
CELL_PARAMETERS angstrom
-4.4789 0.9763 2.8386
-5.4834 -0.8473 -3.2535
-2.0636 -11.0727 0.5500
ATOMIC_POSITIONS angstrom
Ac -3.5449 -1.1844 -0.0703
Ac -6.1474 -4.5095 -3.0436
Ac -8.4810 -9.7592 0.2054
Ac -5.8786 -6.4341 3.1787
Pm -4.2437 -4.9150 0.1100
Pm 0.0000 0.0000 0.0000
Pm -7.7822 -6.0286 0.0250
Tm -4.9445 -8.5191 0.2416
Tm -7.0814 -2.4245 -0.1065
! E   -4.3508 eV per atom
! E_form   0.47 eV per formula unit
! Density of states at the Fermi level   1.4972 states/eV per atom

=====

5.
! AcPm2Tm6, relaxed, DFT PBE-GGA; values from VASP
&SYSTEM
  ibrav = 0, nat = 9, ntyp = 3
/
ATOMIC_SPECIES
Tm 168.93 Tm.upf
Ac 227.00 Ac.upf
Pm 145.00 Pm.upf
CELL_PARAMETERS angstrom
8.1749 1.2476 2.8855
-0.1645 6.3376 -2.2742
4.6280 -0.5792 8.0250
ATOMIC_POSITIONS angstrom
Tm 10.1038 4.7192 7.2215
Tm 4.8851 4.5832 2.4451
Tm 2.4489 5.5904 0.2293
Tm 2.5346 2.2869 1.4148
Tm 7.7534 2.4229 6.1912
Tm 10.1895 1.4156 8.4070
Ac 0.0000 0.0000 0.0000
Pm 7.8732 5.3685 4.4176
Pm 4.7653 1.6375 4.2187
! E   -4.3026 eV per atom
! E_form   1.71 eV per formula unit
! Density of states at the Fermi level   1.4598 states/eV per atom

=====

6.
! AcPm12Tm7, relaxed, DFT PBE-GGA; values from VASP
&SYSTEM
  ibrav = 0, nat = 20, ntyp = 3
/
ATOMIC_SPECIES
Pm 145.00 Pm.upf
Tm 168.93 Tm.upf
Ac 227.00 Ac.upf
CELL_PARAMETERS angstrom
0.7165 -0.0137 8.7558
-3.2889 -8.1333 0.4583
8.0459 -3.4969 -0.4620
ATOMIC_POSITIONS angstrom
Pm 3.5066 -6.2303 1.1800
Pm -0.0677 -7.9962 6.6159
Pm 4.7492 -8.9161 2.3797
Pm 5.5412 -3.6477 2.1363
Pm 1.4960 -8.7455 3.4338
Pm 6.0361 -6.0483 4.1829
Pm 1.9668 -5.4136 7.5721
Pm -0.0605 -6.8245 1.4131
Pm 3.9775 -2.8984 5.3183
Pm 5.5340 -4.8195 7.3391
Pm -0.5626 -5.5956 4.5692
Pm 0.7243 -2.7279 6.3724
Tm 1.3165 -1.0292 3.3452
Tm 2.8219 -9.0402 8.3365
Tm 2.6516 -2.6037 0.4156
Tm -0.6813 -3.3592 1.4948
Tm 4.1570 -10.6147 5.4069
Tm 6.1548 -8.2847 7.2573
Tm 2.7367 -5.8220 4.3761
Ac 0.0000 0.0000 0.0000
! Energy above the lowest structure with this stoichiometry   0.0000 eV per atom
! E   -4.3957 eV per atom
! E_form   4.50 eV per formula unit
! Density of states at the Fermi level   1.6104 states/eV per atom

=====

7.
! AcPmTm, relaxed, DFT PBE-GGA; values from VASP
&SYSTEM
  ibrav = 0, nat = 3, ntyp = 3
/
ATOMIC_SPECIES
Tm 168.93 Tm.upf
Ac 227.00 Ac.upf
Pm 145.00 Pm.upf
CELL_PARAMETERS angstrom
-2.9820 2.0044 -1.0859
-1.4375 -3.0410 -1.6658
-1.4259 -1.3465 7.9177
ATOMIC_POSITIONS angstrom
Tm -2.3852 -1.2234 4.2918
Ac -5.8317 -2.3761 5.1413
Pm -3.4739 -1.1667 0.8988
! Energy above the lowest structure with this stoichiometry   0.0016 eV per atom
! E   -4.3839 eV per atom
! E_form   0.18 eV per formula unit
! Density of states at the Fermi level   1.5055 states/eV per atom

=====

8.
! AcPm4Tm7, relaxed, DFT PBE-GGA; values from VASP
&SYSTEM
  ibrav = 0, nat = 12, ntyp = 3
/
ATOMIC_SPECIES
Ac 227.00 Ac.upf
Tm 168.93 Tm.upf
Pm 145.00 Pm.upf
CELL_PARAMETERS angstrom
-3.7277 -2.0989 -4.2416
-4.1897 -9.8012 4.2539
-6.5224 2.0415 0.4438
ATOMIC_POSITIONS angstrom
Ac 0.0000 0.0000 0.0000
Tm -4.3212 -0.2269 -0.3682
Tm -8.4643 -4.1386 0.9304
Tm -10.0025 -3.6762 -2.2247
Tm -5.9755 -5.7199 -0.4743
Tm -1.8639 -1.0495 -2.1208
Tm -10.1186 -9.6317 0.8243
Tm -4.4373 -6.1824 2.6808
Pm -3.4888 -3.2979 0.4199
Pm -7.7871 -7.3939 1.9461
Pm -10.9510 -6.5607 0.0362
Pm -6.6528 -2.4647 -1.4899
! E   -4.2304 eV per atom
! E_form   3.65 eV per formula unit
! Density of states at the Fermi level   1.6566 states/eV per atom

=====

9.
! Ac2Pm3Tm3, relaxed, DFT PBE-GGA; values from VASP
&SYSTEM
  ibrav = 0, nat = 16, ntyp = 3
/
ATOMIC_SPECIES
Tm 168.93 Tm.upf
Pm 145.00 Pm.upf
Ac 227.00 Ac.upf
CELL_PARAMETERS angstrom
-2.4941 2.5381 -1.3193
1.6759 -4.9875 -7.3046
-13.0827 -10.6398 4.2632
ATOMIC_POSITIONS angstrom
Tm -11.5055 -9.7031 3.0836
Tm -8.0455 -6.8892 1.9561
Tm -2.3954 -3.3860 -7.4443
Tm -5.8554 -6.1999 -6.3169
Tm -4.4430 -2.0389 -0.9819
Tm -9.4579 -11.0502 -3.3789
Pm -12.1951 -13.2299 -2.3978
Pm -6.7306 -8.7858 -4.1785
Pm -7.1704 -4.3034 -0.1823
Pm -2.9383 -5.5415 -5.1061
Pm -10.9626 -7.5476 0.7454
Pm -1.7058 0.1408 -1.9630
Ac -4.9146 -6.0463 -2.3410
Ac -12.7063 -10.0683 -0.8075
Ac -8.9863 -7.0429 -2.0197
Ac -1.1946 -3.0208 -3.5533
! E   -4.3303 eV per atom
! E_form   1.24 eV per formula unit
! Density of states at the Fermi level   1.1770 states/eV per atom

=====

10.
! Ac3Pm5Tm2, relaxed, DFT PBE-GGA; values from VASP
&SYSTEM
  ibrav = 0, nat = 20, ntyp = 3
/
ATOMIC_SPECIES
Ac 227.00 Ac.upf
Pm 145.00 Pm.upf
Tm 168.93 Tm.upf
CELL_PARAMETERS angstrom
11.3907 0.4271 -3.2594
-1.4456 9.5305 -3.8033
-2.3080 -2.5837 8.5203
ATOMIC_POSITIONS angstrom
Ac 8.8679 -0.6907 2.5599
Ac 2.3880 4.2679 2.1256
Ac -1.2308 8.0646 -1.1023
Ac 8.1999 2.5826 -3.3473
Ac 5.2491 3.1060 -0.6680
Ac 1.7452 7.3751 -3.7154
Pm 5.0622 6.3982 -2.4627
Pm 8.3837 5.3553 -1.0192
Pm 8.0190 2.8460 1.6295
Pm 2.5749 0.9758 3.9203
Pm 2.3950 7.0760 -0.1614
Pm -0.3819 4.5280 -0.1719
Pm 7.6918 5.9325 -4.6842
Pm 5.2422 0.2979 1.6190
Pm -0.7466 2.0186 2.4768
Pm 2.2533 4.0251 -2.3785
Tm 1.7510 1.1259 0.2727
Tm 7.6392 0.0683 -0.8497
Tm -0.0021 7.3057 2.3073
Tm 5.8861 6.2481 1.1849
! E   -4.4016 eV per atom
! E_form   1.01 eV per formula unit
! Density of states at the Fermi level   1.4490 states/eV per atom